# 1
The following is a PBE-GGA calculation of a relaxed Pm2Co5B4 crystal, from the Alexandria database.

Properties
- volume (Å³/cell) = 517.7
- N(E_F) (states/eV/f.u.) = 4.90
- ΔH_f (0 K) (kcal/mol of atoms) = -10.55

a = 5.1222 Å, b = 9.4508 Å, c = 10.6949 Å
α = 90.00°, β = 90.00°, γ = 90.00°
Last column: nearest neighbours and their distance in Å.
Space group Fmmm (No. 69)
Inequivalent atoms, fractional coordinates:
Pm (0.0000, 0.0000, 0.1449) (multiplicity 8)  8 B 2.86-3.20, 10 Co 2.91-3.10, 1 Pm 3.10
Co (0.0000, 0.0000, 0.5000) (multiplicity 4)  4 B 2.06
Co (0.2500, 0.2500, 0.0000) (multiplicity 8)  4 B 2.06
Co (0.2500, 0.2500, 0.2500) (multiplicity 8)  4 B 2.00
B (0.0000, 0.1617, 0.3710) (multiplicity 16)  5 Co 2.00-2.06

---

# 2
The following is a PBE-GGA calculation of a relaxed LaZrTl3 crystal, from the Alexandria database.

Properties
- relative energy among the computed polymorphs (eV per atom) = 0.9646
- volume (Å³/cell) = 207.5
- N(E_F) (states/eV/f.u.) = 5.42
- ΔH_f (0 K) (kcal/mol of atoms) = 25.84

a = 5.9198 Å, b = 5.9198 Å, c = 5.9198 Å
α = 90.00°, β = 90.00°, γ = 90.00°
Last column: nearest neighbours and their distance in Å.
Space group Pm-3m (No. 221)
Inequivalent atoms, fractional coordinates:
La (0.0000, 0.0000, 0.0000) (multiplicity 1)  6 Tl 2.96
Zr (0.5000, 0.5000, 0.5000) (multiplicity 1)  12 Tl 4.19
Tl (0.0000, 0.0000, 0.5000) (multiplicity 3)  2 La 2.96

---

# 3
The following is a PBE-GGA calculation of a relaxed BeCr2Ag crystal, from the Alexandria database.

Properties
- volume (Å³/cell) = 108.4
- N(E_F) (states/eV/f.u.) = 2.19
- ΔH_f (0 K) (kcal/mol of atoms) = 9.40

a = 3.8310 Å, b = 3.8310 Å, c = 7.3853 Å
α = 90.00°, β = 90.00°, γ = 90.00°
Last column: nearest neighbours and their distance in Å.
Space group I-4m2 (No. 119)
Inequivalent atoms, fractional coordinates:
Be (0.0000, 0.0000, 0.0000) (multiplicity 2)  8 Cr 2.66-2.71, 4 Ag 2.66
Cr (0.0000, 0.0000, 0.5000) (multiplicity 2)  4 Cr 2.66, 4 Ag 2.66, 4 Be 2.71
Cr (0.0000, 0.5000, 0.7500) (multiplicity 2)  4 Cr 2.66, 4 Be 2.66, 4 Ag 2.71
Ag (0.0000, 0.5000, 0.2500) (multiplicity 2)  8 Cr 2.66-2.71, 4 Be 2.66

---

# 4
The following is a PBE-GGA calculation of a relaxed Ag4I3Cl2 crystal, from the Alexandria database.

Properties
- relative energy among the computed polymorphs (eV per atom) = 0.0164
- volume (Å³/cell) = 1284.8
- N(E_F) (states/eV/f.u.) = 7.04
- energy relative to the elements, uncorrected (eV/atom) = -0.26

a = 13.7819 Å, b = 13.6441 Å, c = 7.2977 Å
α = 90.00°, β = 110.57°, γ = 90.00°
Last column: nearest neighbours and their distance in Å.
Space group C2/c (No. 15)
Inequivalent atoms, fractional coordinates:
Ag (0.1021, 0.0569, 0.4249) (multiplicity 8)  1 Cl 2.56, 2 I 2.84
Ag (0.1140, 0.4961, 0.5689) (multiplicity 8)  2 Cl 2.59-2.60
I (0.0000, 0.3740, 0.7500) (multiplicity 4)  4 Ag 2.91
I (0.0871, 0.1362, 0.0556) (multiplicity 8)  3 Ag 2.84-2.87
Cl (0.2093, 0.3992, 0.3777) (multiplicity 8)  3 Ag 2.56-2.60

---

# 5
The following is a PBE-GGA calculation of a relaxed ZnSiB2N crystal, from the Alexandria database.

Properties
- volume (Å³/cell) = 64.1
- N(E_F) (states/eV/f.u.) = 2.44
- energy relative to the elements, uncorrected (eV/atom) = 2.10

a = 3.8544 Å, b = 3.8544 Å, c = 4.3153 Å
α = 90.00°, β = 90.00°, γ = 90.00°
Last column: nearest neighbours and their distance in Å.
Space group P4/mmm (No. 123)
Inequivalent atoms, fractional coordinates:
Zn (0.0000, 0.0000, 0.0000) (multiplicity 1)  4 B 1.93, 2 N 2.16
Si (0.5000, 0.5000, 0.5000) (multiplicity 1)  4 N 2.73, 8 B 2.89
B (0.0000, 0.5000, 0.0000) (multiplicity 2)  2 Zn 1.93
N (0.0000, 0.0000, 0.5000) (multiplicity 1)  2 Zn 2.16

---

# 6
The following is a PBE-GGA calculation of a relaxed MnAsS4 crystal, from the Alexandria database.

Properties
- volume (Å³/cell) = 264.7
- N(E_F) (states/eV/f.u.) = 0.74
- energy relative to the elements, uncorrected (eV/atom) = -0.30

a = 13.1342 Å, b = 3.4104 Å, c = 5.9761 Å
α = 90.00°, β = 98.59°, γ = 90.00°
Last column: nearest neighbours and their distance in Å.
Space group C2/m (No. 12)
Inequivalent atoms, fractional coordinates:
Mn (0.0000, 0.0000, 0.0000) (multiplicity 2)  6 S 2.31-2.34
As (0.0000, 0.5000, 0.5000) (multiplicity 2)  6 S 2.42-2.45
S (0.0997, 0.5000, 0.8742) (multiplicity 4)  2 Mn 2.34, 1 As 2.42
S (0.1044, 0.0000, 0.3468) (multiplicity 4)  1 Mn 2.31, 2 As 2.45

---

# 7
The following is a PBE-GGA calculation of a relaxed Tb7Y2Th crystal, from the Alexandria database.

Properties
- relative energy among the computed polymorphs (eV per atom) = 0.6807
- volume (Å³/cell) = 770.2
- N(E_F) (states/eV/f.u.) = 14.79
- ΔH_f (0 K) (kcal/mol of atoms) = 16.48

a = 8.4906 Å, b = 18.2138 Å, c = 4.9803 Å
α = 90.00°, β = 90.00°, γ = 90.00°
Last column: nearest neighbours and their distance in Å.
Space group Cmmm (No. 65)
Inequivalent atoms, fractional coordinates:
Tb (0.0000, 0.0000, 0.0000) (multiplicity 2)  4 Tb 3.27
Tb (0.0000, 0.3109, 0.5000) (multiplicity 4)  2 Y 3.16, 4 Tb 3.34, 1 Th 3.44
Tb (0.1834, 0.3980, 0.0000) (multiplicity 8)  4 Tb 3.11-3.34, 1 Y 3.27, 2 Th 3.48
Y (0.0000, 0.2038, 0.0000) (multiplicity 4)  4 Tb 3.16-3.27
Th (0.0000, 0.5000, 0.5000) (multiplicity 2)  10 Tb 3.44-3.48

---

# 8
The following is a PBE-GGA calculation of a relaxed LuZnSn crystal, from the Alexandria database.

Properties
- volume (Å³/cell) = 165.2
- N(E_F) (states/eV/f.u.) = 3.36
- ΔH_f (0 K) (kcal/mol of atoms) = 2.41

a = 3.2645 Å, b = 3.2645 Å, c = 15.5010 Å
α = 90.00°, β = 90.00°, γ = 90.00°
Last column: nearest neighbours and their distance in Å.
Space group I4mm (No. 107)
Inequivalent atoms, fractional coordinates:
Lu (0.0000, 0.0000, 0.0000) (multiplicity 2)  1 Zn 2.85, 4 Sn 3.18
Zn (0.0000, 0.0000, 0.8160) (multiplicity 2)  1 Sn 2.71, 1 Lu 2.85
Sn (0.0000, 0.0000, 0.6409) (multiplicity 2)  1 Zn 2.71

---

# 9
The following is a PBE-GGA calculation of a relaxed HgTe2P crystal, from the Alexandria database.

Properties
- relative energy among the computed polymorphs (eV per atom) = 0.2590
- volume (Å³/cell) = 277.7
- N(E_F) (states/eV/f.u.) = 2.14
- energy relative to the elements, uncorrected (eV/atom) = 0.39

a = 3.9591 Å, b = 3.9591 Å, c = 17.7187 Å
α = 90.00°, β = 90.00°, γ = 90.00°
Last column: nearest neighbours and their distance in Å.
Space group I-4m2 (No. 119)
Inequivalent atoms, fractional coordinates:
Hg (0.0000, 0.0000, 0.0000) (multiplicity 2)  4 Te 2.80
Te (0.0000, 0.0000, 0.5000) (multiplicity 2)  4 Hg 2.80
Te (0.0000, 0.5000, 0.2500) (multiplicity 2)  4 P 2.80
P (0.0000, 0.5000, 0.7500) (multiplicity 2)  4 Te 2.80

---

# 10
The following is a PBE-GGA calculation of a relaxed LaYScTl crystal, from the Alexandria database.

Properties
- volume (Å³/cell) = 466.5
- N(E_F) (states/eV/f.u.) = 4.70
- ΔH_f (0 K) (kcal/mol of atoms) = -2.23

a = 7.7555 Å, b = 7.7555 Å, c = 7.7555 Å
α = 90.00°, β = 90.00°, γ = 90.00°
Last column: nearest neighbours and their distance in Å.
Space group F-43m (No. 216)
Inequivalent atoms, fractional coordinates:
La (0.0000, 0.0000, 0.0000) (multiplicity 4)  4 Sc 3.36, 4 Tl 3.36
Y (0.0000, 0.0000, 0.5000) (multiplicity 4)  4 Tl 3.36, 4 Sc 3.36
Sc (0.2500, 0.2500, 0.2500) (multiplicity 4)  4 La 3.36, 4 Y 3.36
Tl (0.2500, 0.2500, 0.7500) (multiplicity 4)  4 La 3.36, 4 Y 3.36

---

# 11
The following is a PBE-GGA calculation of a relaxed GaFeSi3 crystal, from the Alexandria database.

Properties
- relative energy among the computed polymorphs (eV per atom) = 0.0000
- volume (Å³/cell) = 79.7
- N(E_F) (states/eV/f.u.) = 2.40
- energy relative to the elements, uncorrected (eV/atom) = 0.32

a = 4.3038 Å, b = 4.3038 Å, c = 4.3038 Å
α = 90.00°, β = 90.00°, γ = 90.00°
Last column: nearest neighbours and their distance in Å.
Space group Pm-3m (No. 221)
Inequivalent atoms, fractional coordinates:
Ga (0.0000, 0.0000, 0.0000) (multiplicity 1)  12 Si 3.04
Fe (0.5000, 0.5000, 0.5000) (multiplicity 1)  6 Si 2.15
Si (0.0000, 0.5000, 0.5000) (multiplicity 3)  2 Fe 2.15

---

# 12
The following is a PBE-GGA calculation of a relaxed Cu2PPt crystal, from the Alexandria database.

Properties
- relative energy among the computed polymorphs (eV per atom) = 0.2197
- volume (Å³/cell) = 218.5
- N(E_F) (states/eV/f.u.) = 1.49
- ΔH_f (0 K) (kcal/mol of atoms) = 2.94

a = 6.0232 Å, b = 6.0232 Å, c = 6.0232 Å
α = 90.00°, β = 90.00°, γ = 90.00°
Last column: nearest neighbours and their distance in Å.
Space group Fm-3m (No. 225)
Inequivalent atoms, fractional coordinates:
Cu (0.2500, 0.2500, 0.2500) (multiplicity 8)  4 Pt 2.61, 4 P 2.61
P (0.0000, 0.0000, 0.0000) (multiplicity 4)  8 Cu 2.61
Pt (0.0000, 0.0000, 0.5000) (multiplicity 4)  8 Cu 2.61